DFT (PBE-GGA) results for crystalline Li11Sn3 at its relaxed geometry.

Computed properties:
ΔH_f (0 K)	-247	meV/atom
crystal system	orthorhombic
M_tot	0.00	Bohr magnetons per cell

a b c (Å): 8.279 8.279 8.279
angles (deg): 148.00 124.19 65.80
Positions (direct):
Li  0.000  0.000  0.000
Li  0.094  0.858  0.235
Li  0.167  0.314  0.853
Li  0.241  0.500  0.741
Li  0.377  0.142  0.235
Li  0.460  0.314  0.147
Li  0.540  0.686  0.853
Li  0.623  0.858  0.765
Li  0.759  0.500  0.259
Li  0.833  0.686  0.147
Li  0.906  0.142  0.765
Sn  0.178  0.678  0.500
Sn  0.500  0.000  0.500
Sn  0.822  0.322  0.500